No. 1
{
  "formula": "HoPb3",
  "functional": "GGA-PBE",
  "state": "relaxed",
  "mass_density_g_cm3": 11.2,
  "ef_ev_per_atom": -0.20,
  "magnetic_moment_mub_per_fu": 0.00,
  "lattice": [[-1.792, 5.687, 2.869], [1.792, -5.687, 2.869], [1.792, 5.687, -2.869]],
  "species": ["Ho", "Pb", "Pb", "Pb"],
  "fractional_positions": [[0.000, 0.000, 0.000], [0.397, 0.650, 0.747], [0.512, 0.012, 0.500], [0.903, 0.650, 0.253]]
}

No. 2
{
  "formula": "HoPb4",
  "functional": "GGA-PBE",
  "state": "relaxed",
  "mass_density_g_cm3": 8.3,
  "ef_ev_per_atom": 0.41,
  "magnetic_moment_mub_per_fu": 0.00,
  "lattice": [[5.830, 0.000, 0.000], [0.000, 5.830, 0.000], [0.000, 0.000, 5.830]],
  "species": ["Ho", "Pb", "Pb", "Pb", "Pb"],
  "fractional_positions": [[0.000, 0.000, 0.000], [0.000, 0.000, 0.500], [0.000, 0.500, 0.000], [0.500, 0.000, 0.000], [0.500, 0.500, 0.500]]
}

No. 3
{
  "formula": "Ho13Pb2",
  "functional": "GGA-PBE",
  "state": "relaxed",
  "mass_density_g_cm3": 9.3,
  "ef_ev_per_atom": -0.11,
  "magnetic_moment_mub_per_fu": 0.00,
  "lattice": [[6.807, 0.000, 0.000], [0.975, 8.372, 0.000], [1.848, 3.345, 8.022]],
  "species": ["Ho", "Ho", "Ho", "Ho", "Ho", "Ho", "Ho", "Ho", "Ho", "Ho", "Ho", "Ho", "Ho", "Pb", "Pb"],
  "fractional_positions": [[0.000, 0.000, 0.000], [0.120, 0.481, 0.740], [0.191, 0.226, 0.152], [0.266, 0.938, 0.585], [0.314, 0.657, 0.971], [0.375, 0.409, 0.386], [0.482, 0.144, 0.797], [0.518, 0.856, 0.203], [0.625, 0.591, 0.614], [0.686, 0.343, 0.029], [0.734, 0.062, 0.415], [0.809, 0.774, 0.848], [0.880, 0.519, 0.260], [0.063, 0.773, 0.380], [0.937, 0.227, 0.620]]
}

No. 4
{
  "formula": "Ho2Pb3",
  "functional": "GGA-PBE",
  "state": "relaxed",
  "mass_density_g_cm3": 10.7,
  "ef_ev_per_atom": -0.30,
  "magnetic_moment_mub_per_fu": 0.00,
  "lattice": [[12.201, 0.000, 0.000], [0.000, 4.375, 0.000], [0.000, 0.000, 11.106]],
  "species": ["Ho", "Ho", "Ho", "Ho", "Ho", "Ho", "Ho", "Ho", "Pb", "Pb", "Pb", "Pb", "Pb", "Pb", "Pb", "Pb", "Pb", "Pb", "Pb", "Pb"],
  "fractional_positions": [[0.011, 0.250, 0.241], [0.224, 0.250, 0.581], [0.276, 0.750, 0.081], [0.489, 0.750, 0.741], [0.511, 0.250, 0.259], [0.724, 0.250, 0.919], [0.776, 0.750, 0.419], [0.989, 0.750, 0.759], [0.078, 0.750, 0.439], [0.097, 0.250, 0.946], [0.240, 0.750, 0.793], [0.260, 0.250, 0.293], [0.403, 0.750, 0.446], [0.422, 0.250, 0.939], [0.578, 0.750, 0.061], [0.597, 0.250, 0.554], [0.740, 0.750, 0.707], [0.760, 0.250, 0.207], [0.903, 0.750, 0.054], [0.922, 0.250, 0.561]]
}

No. 5
{
  "formula": "Ho3Pb",
  "functional": "GGA-PBE",
  "state": "relaxed",
  "mass_density_g_cm3": 9.9,
  "ef_ev_per_atom": -0.24,
  "magnetic_moment_mub_per_fu": 0.00,
  "lattice": [[-1.783, 5.553, 2.960], [1.783, -5.553, 2.960], [1.783, 5.553, -2.960]],
  "species": ["Ho", "Ho", "Ho", "Pb"],
  "fractional_positions": [[0.000, 0.000, 0.000], [0.404, 0.637, 0.767], [0.870, 0.637, 0.233], [0.471, 0.971, 0.500]]
}

No. 6
{
  "formula": "HoPb3",
  "functional": "GGA-PBE",
  "state": "relaxed",
  "mass_density_g_cm3": 10.7,
  "ef_ev_per_atom": -0.10,
  "magnetic_moment_mub_per_fu": 0.00,
  "lattice": [[0.000, 3.933, 3.933], [3.933, 0.000, 3.933], [3.933, 3.933, 0.000]],
  "species": ["Ho", "Pb", "Pb", "Pb"],
  "fractional_positions": [[0.000, 0.000, 0.000], [0.250, 0.250, 0.250], [0.500, 0.500, 0.500], [0.750, 0.750, 0.750]]
}

No. 7
{
  "formula": "Ho2Pb3",
  "functional": "GGA-PBE",
  "state": "relaxed",
  "mass_density_g_cm3": 11.1,
  "ef_ev_per_atom": -0.37,
  "magnetic_moment_mub_per_fu": 0.00,
  "lattice": [[0.000, 7.922, 3.223], [5.565, 0.000, 3.223], [5.565, 7.922, 0.000]],
  "species": ["Ho", "Ho", "Ho", "Ho", "Pb", "Pb", "Pb", "Pb", "Pb", "Pb"],
  "fractional_positions": [[0.017, 0.483, 0.087], [0.163, 0.837, 0.233], [0.483, 0.017, 0.413], [0.837, 0.163, 0.767], [0.055, 0.055, 0.945], [0.305, 0.305, 0.195], [0.491, 0.578, 0.305], [0.578, 0.491, 0.625], [0.625, 0.945, 0.672], [0.945, 0.625, 0.759]]
}

No. 8
{
  "formula": "Ho3Pb",
  "functional": "GGA-PBE",
  "state": "relaxed",
  "mass_density_g_cm3": 10.1,
  "ef_ev_per_atom": -0.26,
  "magnetic_moment_mub_per_fu": 0.00,
  "lattice": [[-2.336, 2.336, 5.278], [2.336, -2.336, 5.278], [2.336, 2.336, -5.278]],
  "species": ["Ho", "Ho", "Ho", "Pb"],
  "fractional_positions": [[0.000, 0.000, 0.000], [0.250, 0.750, 0.500], [0.750, 0.250, 0.500], [0.500, 0.500, 0.000]]
}

No. 9
{
  "formula": "HoPb3",
  "functional": "GGA-PBE",
  "state": "relaxed",
  "mass_density_g_cm3": 11.3,
  "ef_ev_per_atom": -0.26,
  "magnetic_moment_mub_per_fu": 0.00,
  "lattice": [[4.870, 0.000, 0.000], [0.000, 4.870, 0.000], [0.000, 0.000, 4.881]],
  "species": ["Ho", "Pb", "Pb", "Pb"],
  "fractional_positions": [[0.000, 0.000, 0.000], [0.000, 0.500, 0.500], [0.500, 0.000, 0.500], [0.500, 0.500, 0.000]]
}

No. 10
{
  "formula": "Ho3Pb",
  "functional": "GGA-PBE",
  "state": "relaxed",
  "mass_density_g_cm3": 9.5,
  "ef_ev_per_atom": -0.24,
  "magnetic_moment_mub_per_fu": 0.00,
  "lattice": [[-6.260, 6.260, 3.121], [6.260, -6.260, 3.121], [6.260, 6.260, -3.121]],
  "species": ["Ho", "Ho", "Ho", "Ho", "Ho", "Ho", "Ho", "Ho", "Ho", "Ho", "Ho", "Ho", "Pb", "Pb", "Pb", "Pb"],
  "fractional_positions": [[0.069, 0.029, 0.603], [0.126, 0.447, 0.614], [0.162, 0.352, 0.973], [0.379, 0.189, 0.027], [0.426, 0.466, 0.397], [0.488, 0.874, 0.321], [0.534, 0.931, 0.960], [0.553, 0.167, 0.679], [0.648, 0.621, 0.811], [0.811, 0.838, 0.189], [0.833, 0.512, 0.386], [0.971, 0.574, 0.040], [0.064, 0.722, 0.743], [0.278, 0.021, 0.342], [0.679, 0.936, 0.658], [0.979, 0.321, 0.257]]
}

No. 11
{
  "formula": "HoPb7",
  "functional": "GGA-PBE",
  "state": "relaxed",
  "mass_density_g_cm3": 11.0,
  "ef_ev_per_atom": -0.10,
  "magnetic_moment_mub_per_fu": 0.00,
  "lattice": [[0.000, 4.955, 4.955], [4.955, 0.000, 4.955], [4.955, 4.955, 0.000]],
  "species": ["Ho", "Pb", "Pb", "Pb", "Pb", "Pb", "Pb", "Pb"],
  "fractional_positions": [[0.000, 0.000, 0.000], [0.000, 0.000, 0.500], [0.000, 0.500, 0.000], [0.000, 0.500, 0.500], [0.500, 0.000, 0.000], [0.500, 0.000, 0.500], [0.500, 0.500, 0.000], [0.500, 0.500, 0.500]]
}

No. 12
{
  "formula": "Ho5Pb",
  "functional": "GGA-PBE",
  "state": "relaxed",
  "mass_density_g_cm3": 9.7,
  "ef_ev_per_atom": -0.18,
  "magnetic_moment_mub_per_fu": 0.00,
  "lattice": [[2.424, -7.478, 0.000], [2.424, 7.478, 0.000], [0.000, 0.000, 4.883]],
  "species": ["Ho", "Ho", "Ho", "Ho", "Ho", "Pb"],
  "fractional_positions": [[0.000, 0.000, 0.000], [0.164, 0.836, 0.500], [0.330, 0.670, 0.000], [0.670, 0.330, 0.000], [0.836, 0.164, 0.500], [0.500, 0.500, 0.500]]
}